[1]
ZnAgTe2: optimized geometry, GGA-PBE.

Lattice parameters (Å, degrees): 3.9723 6.7619 7.9739 90.00 90.00 90.00
With the nearest neighbours (Å) after each atom.
Space group Immm (No. 71)
Asymmetric unit:
1 Zn 0.0000 0.0000 0.0000 (multiplicity 2)  4 Te 2.75
2 Ag 0.0000 0.0000 0.5000 (multiplicity 2)  4 Te 2.88
3 Te 0.0000 0.5000 0.2620 (multiplicity 4)  2 Zn 2.75, 2 Ag 2.88

Calculated values
E above lowest polymorph	0.307	eV per atom
total moment	0.00	μB per formula unit
theoretical density	6.64	Mg/m³



[2]
ZnAg2Te2: optimized geometry, GGA-PBE.

Lattice parameters (Å, degrees): 7.7544 7.7544 4.1750 90.00 90.00 90.00
With the nearest neighbours (Å) after each atom.
Space group P4/mbm (No. 127)
Asymmetric unit:
1 Zn 0.0000 0.0000 0.0000 (multiplicity 2)  4 Te 2.82
2 Ag 0.1270 0.3730 0.5000 (multiplicity 4)  1 Ag 2.79, 2 Te 2.91
3 Te 0.1881 0.6881 0.0000 (multiplicity 4)  2 Zn 2.82, 2 Ag 2.91

Calculated values
E above lowest polymorph	0.000	eV per atom
total moment	0.00	μB per formula unit
theoretical density	7.10	Mg/m³



[3]
ZnAgTe2: optimized geometry, GGA-PBE.

Lattice parameters (Å, degrees): 8.4847 3.5117 7.3047 90.00 94.82 90.00
With the nearest neighbours (Å) after each atom.
Space group Cm (No. 8)
Asymmetric unit:
1 Zn 0.0000 0.0000 0.0000 (multiplicity 2)  3 Ag 2.70-2.89, 3 Te 2.71-2.86
2 Ag 0.2654 0.0000 0.8191 (multiplicity 2)  3 Zn 2.70-2.89, 3 Te 2.72-2.92
3 Te 0.0288 0.5000 0.6307 (multiplicity 2)  3 Ag 2.72-2.92
4 Te 0.2319 0.5000 0.1774 (multiplicity 2)  3 Zn 2.71-2.86

Calculated values
E above lowest polymorph	0.178	eV per atom
total moment	0.00	μB per formula unit
theoretical density	6.56	Mg/m³